(1)
This record from the Alexandria database describes CeDy2Er5 after structural relaxation. The functional is PBE.

Calculated formation energy: 0.33 eV/f.u.
DOS(E_F): 23.47 states/eV per cell
Total magnetic moment: 0.127 μB per atom
E: -37.625 eV per formula unit

Lattice parameters (Å, degrees): 7.0343 14.0769 4.9734 90.00 90.00 90.00
Atoms (fractional coordinates):
1 Ce 0.0000 0.0000 0.0000
2 Ce 0.5000 0.5000 0.0000
3 Dy 0.2469 0.1241 0.5000
4 Dy 0.2531 0.6241 0.5000
5 Dy 0.7469 0.3759 0.5000
6 Dy 0.7531 0.8759 0.5000
7 Er 0.0000 0.5000 0.0000
8 Er 0.0008 0.2501 0.0000
9 Er 0.2456 0.8760 0.5000
10 Er 0.2544 0.3760 0.5000
11 Er 0.4992 0.7501 0.0000
12 Er 0.5000 0.0000 0.0000
13 Er 0.5008 0.2499 0.0000
14 Er 0.7456 0.6240 0.5000
15 Er 0.7544 0.1240 0.5000
16 Er 0.9992 0.7499 0.0000



(2)
This record from the Alexandria database describes CeDy3Er8 after structural relaxation. The functional is PBE.

Calculated formation energy: 9.26 eV/f.u.
DOS(E_F): 16.64 states/eV per cell
Total magnetic moment: 0.145 μB per atom
E: -46.984 eV per formula unit

Lattice parameters (Å, degrees): 9.3226 9.3226 9.3226 131.95 131.95 70.31
Atoms (fractional coordinates):
1 Ce 0.0000 0.0000 0.0000
2 Dy 0.2500 0.7500 0.5000
3 Dy 0.5000 0.5000 0.0000
4 Dy 0.7500 0.2500 0.5000
5 Er 0.1239 0.1239 0.4961
6 Er 0.1239 0.6278 0.0000
7 Er 0.3722 0.3722 0.4961
8 Er 0.3722 0.8761 0.0000
9 Er 0.6278 0.1239 0.0000
10 Er 0.6278 0.6278 0.5039
11 Er 0.8761 0.3722 0.0000
12 Er 0.8761 0.8761 0.5039